CdCoO2: optimized geometry, PBE with a Hubbard U.

```
CdCoO2
1.0
1.934 0.000 5.951
-0.967 1.675 5.951
-0.967 -1.675 5.951
Co O Cd
1 2 1
Direct
0.000 0.000 0.000 Co
0.902 0.902 0.902 O
0.098 0.098 0.098 O
0.500 0.500 0.500 Cd
```

Values from the calculation:
Space-group type ... R-3m
Uncorrected energy ... -0.344 Ry/atom
Volume ... 14.5 Å³/atom
DOS at the Fermi energy ... 2.8 states/eV/f.u.